1.
# PBE Ga2CuBS, optimized geometry
# DOS(E_F) ... 1.878 states/eV per cell
# Electronic total energy ... -0.121 hartree per atom
# Energy relative to the elements, uncorrected ... 86.5 kJ per mole of atoms
# Size of the total moment ... 0.0 μB/f.u.
# V ... 94 Å³/f.u.
data_Ga2CuBS
_chemical_formula_sum 'Ga2 Cu1 B1 S1'
_space_group_name_H-M_alt 'P 4/m m m'
_space_group_IT_number 123
_space_group_name_Hall '-P 4 2'
_cell_length_a 5.125
_cell_length_b 5.125
_cell_length_c 3.586
_cell_angle_alpha 90.00
_cell_angle_beta 90.00
_cell_angle_gamma 90.00
loop_
_atom_site_label
_atom_site_type_symbol
_atom_site_fract_x
_atom_site_fract_y
_atom_site_fract_z
Ga1 Ga 0.000 0.500 0.000
Cu1 Cu 0.000 0.000 0.500
B1 B 0.500 0.500 0.500
S1 S 0.500 0.500 0.000

=====

2.
# PBE LaRePd3, optimized geometry
# DOS(E_F) ... 4.110 states/eV per cell
# Electronic total energy ... -0.230 hartree per atom
# Size of the total moment ... 0.0 μB/f.u.
# V ... 116 Å³/f.u.
# Calculated formation energy ... 0.326 eV/atom
data_LaRePd3
_chemical_formula_sum 'La1 Re1 Pd3'
_space_group_name_H-M_alt 'P m -3 m'
_space_group_IT_number 221
_space_group_name_Hall '-P 4 2 3'
_cell_length_a 4.878
_cell_length_b 4.878
_cell_length_c 4.878
_cell_angle_alpha 90.00
_cell_angle_beta 90.00
_cell_angle_gamma 90.00
loop_
_atom_site_label
_atom_site_type_symbol
_atom_site_fract_x
_atom_site_fract_y
_atom_site_fract_z
La1 La 0.000 0.000 0.000
Re1 Re 0.500 0.500 0.500
Pd1 Pd 0.000 0.500 0.500

=====

3.
# PBE SmGdThZr, optimized geometry
# DOS(E_F) ... 29.922 states/eV per cell
# Electronic total energy ... -0.312 hartree per atom
# Size of the total moment ... 7.9 μB/f.u.
# V ... 119 Å³/f.u.
# Calculated formation energy ... 0.194 eV/atom
data_SmGdThZr
_chemical_formula_sum 'Sm4 Gd4 Th4 Zr4'
_space_group_name_H-M_alt 'F -4 3 m'
_space_group_IT_number 216
_space_group_name_Hall 'F -4 2 3'
_cell_length_a 7.806
_cell_length_b 7.806
_cell_length_c 7.806
_cell_angle_alpha 90.00
_cell_angle_beta 90.00
_cell_angle_gamma 90.00
loop_
_atom_site_label
_atom_site_type_symbol
_atom_site_fract_x
_atom_site_fract_y
_atom_site_fract_z
Sm1 Sm 0.000 0.000 0.000
Gd1 Gd 0.250 0.250 0.750
Th1 Th 0.250 0.250 0.250
Zr1 Zr 0.000 0.000 0.500

=====

4.
# PBE La14SmY, optimized geometry
# DOS(E_F) ... 28.299 states/eV per cell
# Electronic total energy ... -0.184 hartree per atom
# Size of the total moment ... 0.0 μB/f.u.
# V ... 576 Å³/f.u.
# Calculated formation energy ... 0.005 eV/atom
data_La14SmY
_chemical_formula_sum 'La14 Sm1 Y1'
_space_group_name_H-M_alt 'P 4/m m m'
_space_group_IT_number 123
_space_group_name_Hall '-P 4 2'
_cell_length_a 7.397
_cell_length_b 7.397
_cell_length_c 10.534
_cell_angle_alpha 90.00
_cell_angle_beta 90.00
_cell_angle_gamma 90.00
loop_
_atom_site_label
_atom_site_type_symbol
_atom_site_fract_x
_atom_site_fract_y
_atom_site_fract_z
La1 La 0.000 0.000 0.000
La2 La 0.000 0.500 0.000
La3 La 0.000 0.500 0.500
La4 La 0.250 0.250 0.251
La5 La 0.500 0.500 0.000
Sm1 Sm 0.000 0.000 0.500
Y1 Y 0.500 0.500 0.500

=====

5.
# PBE VFe2N, optimized geometry
# DOS(E_F) ... 13.295 states/eV per cell
# Electronic total energy ... -0.305 hartree per atom
# Energy relative to the elements, uncorrected ... 29.4 kJ per mole of atoms
# Size of the total moment ... 0.2 μB/f.u.
# V ... 44 Å³/f.u.
data_VFe2N
_chemical_formula_sum 'V3 Fe6 N3'
_space_group_name_H-M_alt 'R -3 m'
_space_group_IT_number 166
_space_group_name_Hall '-R 3 2"'
_cell_length_a 2.7985
_cell_length_b 2.7985
_cell_length_c 19.5719
_cell_angle_alpha 90.00
_cell_angle_beta 90.00
_cell_angle_gamma 120.00
loop_
_atom_site_label
_atom_site_type_symbol
_atom_site_fract_x
_atom_site_fract_y
_atom_site_fract_z
V1 V 0.0000 0.0000 0.0000
Fe1 Fe 0.0000 0.0000 0.1161
N1 N 0.0000 0.0000 0.5000

=====

6.
# PBE Cs2Ca3DyCl12, optimized geometry
# DOS(E_F) ... 49.673 states/eV per cell
# Electronic total energy ... -0.147 hartree per atom
# Energy relative to the elements, uncorrected ... -201.2 kJ per mole of atoms
# Size of the total moment ... 1.0 μB/f.u.
# V ... 684 Å³/f.u.
data_Cs2Ca3DyCl12
_chemical_formula_sum 'Cs6 Ca9 Dy3 Cl36'
_space_group_name_H-M_alt 'R -3 m'
_space_group_IT_number 166
_space_group_name_Hall '-R 3 2"'
_cell_length_a 9.7644
_cell_length_b 9.7644
_cell_length_c 24.8499
_cell_angle_alpha 90.00
_cell_angle_beta 90.00
_cell_angle_gamma 120.00
loop_
_atom_site_label
_atom_site_type_symbol
_atom_site_fract_x
_atom_site_fract_y
_atom_site_fract_z
Cs1 Cs 0.0000 0.0000 0.1033
Ca1 Ca 0.0000 0.5000 0.0000
Dy1 Dy 0.0000 0.0000 0.5000
Cl1 Cl 0.0507 0.5253 0.3632
Cl2 Cl 0.0718 0.5359 0.1085

=====

7.
# PBE Sr2ZrTe, optimized geometry
# DOS(E_F) ... 12.577 states/eV per cell
# Electronic total energy ... -0.135 hartree per atom
# Energy relative to the elements, uncorrected ... 8.7 kJ per mole of atoms
# Size of the total moment ... 2.0 μB/f.u.
# V ... 144 Å³/f.u.
data_Sr2ZrTe
_chemical_formula_sum 'Sr8 Zr4 Te4'
_space_group_name_H-M_alt 'I -4 2 d'
_space_group_IT_number 122
_space_group_name_Hall 'I -4 2bw'
_cell_length_a 9.405
_cell_length_b 9.405
_cell_length_c 6.500
_cell_angle_alpha 90.00
_cell_angle_beta 90.00
_cell_angle_gamma 90.00
loop_
_atom_site_label
_atom_site_type_symbol
_atom_site_fract_x
_atom_site_fract_y
_atom_site_fract_z
Sr1 Sr 0.212 0.250 0.125
Zr1 Zr 0.000 0.000 0.500
Te1 Te 0.000 0.000 0.000

=====

8.
# PBE LiLa2Rh2, optimized geometry
# DOS(E_F) ... 6.276 states/eV per cell
# Electronic total energy ... -0.216 hartree per atom
# Size of the total moment ... 0.0 μB/f.u.
# V ... 110 Å³/f.u.
# Calculated formation energy ... -0.590 eV/atom
data_LiLa2Rh2
_chemical_formula_sum 'Li2 La4 Rh4'
_space_group_name_H-M_alt 'I m m m'
_space_group_IT_number 71
_space_group_name_Hall '-I 2 2'
_cell_length_a 4.265
_cell_length_b 6.072
_cell_length_c 8.494
_cell_angle_alpha 90.00
_cell_angle_beta 90.00
_cell_angle_gamma 90.00
loop_
_atom_site_label
_atom_site_type_symbol
_atom_site_fract_x
_atom_site_fract_y
_atom_site_fract_z
Li1 Li 0.000 0.000 0.000
La1 La 0.000 0.500 0.201
Rh1 Rh 0.000 0.242 0.500